Here is crystalline Er5In2Ru2 at its relaxed geometry from Alexandria via LeMat-Bulk. Energies are from PBE-GGA.

The structure in POSCAR format:
```
Er5In2Ru2
1.0
-6.015 -4.295 -0.579
4.128 -5.357 -3.149
-1.461 -5.310 7.118
Ru Er In
4 10 4
Direct
0.875 0.628 0.000
0.625 0.128 0.000
0.375 0.872 0.000
0.125 0.372 0.000
0.440 0.174 0.767
0.208 0.174 0.233
0.708 0.326 0.233
0.292 0.674 0.767
0.560 0.826 0.233
0.940 0.326 0.767
0.060 0.674 0.233
0.000 0.000 0.000
0.792 0.826 0.767
0.500 0.500 0.000
0.777 0.000 0.446
0.223 0.000 0.554
0.723 0.500 0.554
0.277 0.500 0.446
```

Values from the calculation:
The value obtained for the formation energy is -0.40 eV per atom.